[1]
Here is a relaxed structure of Pm2CdCoC from the Alexandria database. Energies are from PBE.

The structure belongs to space group P4/mmm (No. 123); the cell edges are 5.279, 5.279 and 3.676 Å and the angles 90.00°, 90.00° and 90.00°. The inequivalent atoms are Pm at (0.000, 0.500, 0.000), Cd at (0.000, 0.000, 0.500), Co at (0.500, 0.500, 0.500) and C at (0.500, 0.500, 0.000).

The total energy is -5.60 eV/atom. Its formation energy is -0.254 eV per atom.

***

[2]
Here is a relaxed structure of Pr2CdCoC from the Alexandria database. Energies are from PBE.

The structure belongs to space group P4/mmm (No. 123); the cell edges are 5.395, 5.395 and 3.677 Å and the angles 90.00°, 90.00° and 90.00°. The inequivalent atoms are Pr at (0.000, 0.500, 0.000), Cd at (0.000, 0.000, 0.500), Co at (0.500, 0.500, 0.500) and C at (0.500, 0.500, 0.000).

The total energy is -5.57 eV/atom. Its formation energy is -0.208 eV per atom.

***

[3]
Here is a relaxed structure of Cd2CoPtC from the Alexandria database. Energies are from PBE.

The structure belongs to space group P4/mmm (No. 123); the cell edges are 4.642, 4.642 and 3.919 Å and the angles 90.00°, 90.00° and 90.00°. The inequivalent atoms are Cd at (0.000, 0.500, 0.000), Co at (0.000, 0.000, 0.500), Pt at (0.500, 0.500, 0.500) and C at (0.500, 0.500, 0.000).

The total energy is -4.04 eV/atom. Its formation energy is 0.795 eV per atom.

***

[4]
Here is a relaxed structure of CdCo2RhC from the Alexandria database. Energies are from PBE.

The structure belongs to space group P4/mmm (No. 123); the cell edges are 3.872, 3.872 and 4.088 Å and the angles 90.00°, 90.00° and 90.00°. The inequivalent atoms are Cd at (0.000, 0.000, 0.000), Co at (0.000, 0.500, 0.500), Rh at (0.500, 0.500, 0.000) and C at (0.500, 0.500, 0.500).

The total energy is -6.25 eV/atom. Its formation energy is 0.091 eV per atom.

***

> What is the formula in the first record?

Pm2CdCoC